[1]
A plane-wave DFT calculation with GGA-PBE was carried out for a relaxed Nd4Y2Pb3O2 crystal.

Cell: 4.8301 4.8301 13.3402 Å, 100.43 100.43 90.00°
Last column: nearest neighbours and their distance in Å.
Sites, in units of the cell vectors:
Nd1 0.4155 0.9155 0.8310  2 O 2.48
Nd2 0.9155 0.4155 0.8310  2 O 2.48
Nd3 0.0845 0.5845 0.1690  2 O 2.48
Nd4 0.5845 0.0845 0.1690  2 O 2.48
Y1 0.3061 0.3061 0.6122  1 O 2.27
Y2 0.6939 0.6939 0.3878  1 O 2.27
Pb1 0.0000 0.0000 0.0000  8 Nd 3.25
Pb2 0.1817 0.1817 0.3635  5 Y 3.21-3.43, 4 Nd 3.48
Pb3 0.8183 0.8183 0.6365  5 Y 3.21-3.43, 4 Nd 3.48
O1 0.3941 0.3941 0.7881  1 Y 2.27, 4 Nd 2.48
O2 0.6059 0.6059 0.2119  1 Y 2.27, 4 Nd 2.48

As for the final energy: -6.177 eV/atom.


[2]
A plane-wave DFT calculation with GGA-PBE was carried out for a relaxed Nd2PdO crystal.

Cell: 5.9755 6.1140 10.2653 Å, 95.23 90.00 90.00°
Last column: nearest neighbours and their distance in Å.
Sites, in units of the cell vectors:
Nd1 0.7580 0.9498 0.9066  2 O 2.35-2.38
Nd2 0.2420 0.0502 0.0934  2 O 2.35-2.38
Nd3 0.7580 0.5502 0.5934  2 O 2.35-2.38
Nd4 0.2420 0.4498 0.4066  2 O 2.35-2.38
Nd5 0.7857 0.4687 0.1464  2 O 2.34-2.46
Nd6 0.2143 0.5313 0.8536  2 O 2.34-2.46
Nd7 0.7857 0.0313 0.3536  2 O 2.34-2.46
Nd8 0.2143 0.9687 0.6464  2 O 2.34-2.46
Pd1 0.2963 0.9364 0.3591  6 Nd 2.89-3.15, 1 Pd 3.05
Pd2 0.7037 0.0636 0.6409  6 Nd 2.89-3.15, 1 Pd 3.05
Pd3 0.2963 0.5636 0.1409  6 Nd 2.89-3.15, 1 Pd 3.05
Pd4 0.7037 0.4364 0.8591  6 Nd 2.89-3.15, 1 Pd 3.05
O1 0.1459 0.5909 0.6231  4 Nd 2.34-2.46
O2 0.8541 0.4091 0.3769  4 Nd 2.34-2.46
O3 0.1459 0.9091 0.8769  4 Nd 2.34-2.46
O4 0.8541 0.0909 0.1231  4 Nd 2.34-2.46

As for the final energy: -6.535 eV/atom. For the distance to the lowest polymorph of the same formula, the calculation gives 0.000 eV per atom.


[3]
A plane-wave DFT calculation with GGA-PBE was carried out for a relaxed Nd3PdO crystal.

Cell: 4.8974 4.8974 4.8974 Å, 90.00 90.00 90.00°
Last column: nearest neighbours and their distance in Å.
Sites, in units of the cell vectors:
Nd1 0.0000 0.5000 0.0000  2 O 2.45
Nd2 0.0000 0.0000 0.5000  2 O 2.45
Nd3 0.5000 0.0000 0.0000  2 O 2.45
O1 0.0000 0.0000 0.0000  6 Nd 2.45
Pd1 0.5000 0.5000 0.5000  12 Nd 3.46

As for the final energy: -6.154 eV/atom.


[4]
A plane-wave DFT calculation with GGA-PBE was carried out for a relaxed Nd2Pd2O5 crystal.

Cell: 6.6521 6.6521 5.6257 Å, 90.00 90.00 90.00°
Last column: nearest neighbours and their distance in Å.
Sites, in units of the cell vectors:
Nd1 0.1076 0.2596 0.0000  6 O 2.34-2.61
Nd2 0.8924 0.7404 0.0000  6 O 2.34-2.61
Nd3 0.2596 0.8924 0.5000  6 O 2.34-2.61
Nd4 0.7404 0.1076 0.5000  6 O 2.34-2.61
Pd1 0.5955 0.3053 0.0000  4 O 2.05-2.08
Pd2 0.4045 0.6947 0.0000  4 O 2.05-2.08
Pd3 0.3053 0.4045 0.5000  4 O 2.05-2.08
Pd4 0.6947 0.5955 0.5000  4 O 2.05-2.08
O1 0.4013 0.1950 0.2584  2 Pd 2.05-2.08
O2 0.5987 0.8050 0.7416  2 Pd 2.05-2.08
O3 0.5987 0.8050 0.2584  2 Pd 2.05-2.08
O4 0.1950 0.5987 0.7584  2 Pd 2.05-2.08
O5 0.4013 0.1950 0.7416  2 Pd 2.05-2.08
O6 0.8050 0.4013 0.2416  2 Pd 2.05-2.08
O7 0.8050 0.4013 0.7584  2 Pd 2.05-2.08
O8 0.1950 0.5987 0.2416  2 Pd 2.05-2.08
O9 0.0000 0.0000 0.2500  4 Nd 2.34
O10 0.0000 0.0000 0.7500  4 Nd 2.34

As for the final energy: -7.077 eV/atom.


[5]
A plane-wave DFT calculation with GGA-PBE was carried out for a relaxed NdPd2O4 crystal.

Cell: 6.6357 6.6355 6.6358 Å, 126.83 126.83 78.54°
Last column: nearest neighbours and their distance in Å.
Sites, in units of the cell vectors:
Nd1 0.5000 0.5000 0.0000  8 O 2.44-2.53
Nd2 0.2500 0.7500 0.5000  8 O 2.44-2.53
Pd1 0.8750 0.1250 0.7500  4 O 2.03-2.04
Pd2 0.8750 0.6250 0.7500  4 O 2.03-2.04
Pd3 0.8750 0.1250 0.2500  4 O 2.03-2.04
Pd4 0.3750 0.1250 0.2500  4 O 2.03-2.04
O1 0.5001 0.4531 0.3514  2 Pd 2.03-2.04
O2 0.2031 0.3517 0.4530  2 Pd 2.03-2.04
O3 0.8987 0.7501 0.5470  2 Pd 2.03-2.04
O4 0.1017 0.1488 0.6487  2 Pd 2.03-2.04
O5 0.2499 0.7969 0.1486  2 Pd 2.03-2.04
O6 0.5469 0.8983 0.0470  2 Pd 2.03-2.04
O7 0.6483 0.1012 0.8513  2 Pd 2.03-2.04
O8 0.8513 0.4999 0.9530  2 Pd 2.03-2.04

As for the final energy: -6.540 eV/atom. For the distance to the lowest polymorph of the same formula, the calculation gives 0.000 eV per atom.


[6]
A plane-wave DFT calculation with GGA-PBE was carried out for a relaxed Nd2PdO crystal.

Cell: 3.5110 3.5110 8.5767 Å, 78.19 78.19 60.00°
Last column: nearest neighbours and their distance in Å.
Sites, in units of the cell vectors:
Nd1 0.1081 0.1081 0.6757  3 O 2.50, 1 Pd 2.70
Nd2 0.8919 0.8919 0.3243  3 O 2.50, 1 Pd 2.70
O1 0.5000 0.5000 0.5000  6 Nd 2.50
Pd1 0.0000 0.0000 0.0000  2 Nd 2.70

As for the final energy: -6.083 eV/atom. For the distance to the lowest polymorph of the same formula, the calculation gives 0.452 eV per atom.


[7]
A plane-wave DFT calculation with GGA-PBE was carried out for a relaxed NdPd2O4 crystal.

Cell: 6.5739 5.9751 6.7779 Å, 74.53 60.99 56.62°
Last column: nearest neighbours and their distance in Å.
Sites, in units of the cell vectors:
Nd1 0.7500 0.5000 0.5000  8 O 2.43-2.62
Nd2 0.0000 0.0000 0.0000  8 O 2.43-2.62
Pd1 0.8750 0.7500 0.7500  4 O 2.03-2.06
Pd2 0.3750 0.2500 0.2500  4 O 2.03-2.06
Pd3 0.3750 0.7500 0.2500  4 O 2.03-2.06
Pd4 0.3750 0.2500 0.7500  4 O 2.03-2.06
O1 0.6161 0.3503 0.2726  2 Pd 2.03-2.06
O2 0.1339 0.1497 0.2274  2 Pd 2.03-2.06
O3 0.2391 0.6497 0.7273  2 Pd 2.03-2.06
O4 0.0336 0.3503 0.7274  2 Pd 2.03-2.06
O5 0.1113 0.6497 0.2726  2 Pd 2.03-2.06
O6 0.5110 0.8503 0.7727  2 Pd 2.03-2.06
O7 0.7164 0.1497 0.7727  2 Pd 2.03-2.06
O8 0.6387 0.8503 0.2273  2 Pd 2.03-2.06

As for the final energy: -6.351 eV/atom. For the distance to the lowest polymorph of the same formula, the calculation gives 0.189 eV per atom.


[8]
A plane-wave DFT calculation with GGA-PBE was carried out for a relaxed Nd2PdO crystal.

Cell: 3.2744 3.2744 7.1775 Å, 90.00 90.00 90.00°
Last column: nearest neighbours and their distance in Å.
Sites, in units of the cell vectors:
Nd1 0.0000 0.0000 0.7773  4 O 2.81, 4 Pd 3.05
Nd2 0.0000 0.0000 0.2227  4 O 2.81, 4 Pd 3.05
O1 0.5000 0.5000 0.0000  8 Nd 2.81
Pd1 0.5000 0.5000 0.5000  8 Nd 3.05, 4 Pd 3.27

As for the final energy: -6.162 eV/atom. For the distance to the lowest polymorph of the same formula, the calculation gives 0.373 eV per atom.


Number 1: E_form (uncorrected) -1355 meV/atom, V 301 Å³/f.u.. Number 2: E_form (uncorrected) -1613 meV/atom, V 93 Å³/f.u.. Number 3: E_form (uncorrected) -1263 meV/atom, V 117 Å³/f.u.. Number 4: E_form (uncorrected) -2109 meV/atom, V 124 Å³/f.u.. Number 5: E_form (uncorrected) -1542 meV/atom, V 91 Å³/f.u.. Number 6: E_form (uncorrected) -1161 meV/atom, V 89 Å³/f.u.. Number 7: E_form (uncorrected) -1353 meV/atom, V 97 Å³/f.u.. Number 8: E_form (uncorrected) -1240 meV/atom, V 77 Å³/f.u..